Entry from the Alexandria database: an optimized crystal structure of TlCdFe (PBEsol).

Summary:
E_form = 812 meV/atom
Magnetic moment = 1.00 μB/atom
Density = 9.44 Mg/m³
Space group = F-43m
E above lowest polymorph = 0.0 kJ/mol of atoms

Cell: 4.526 4.526 4.526 Å, 60.00 60.00 60.00°
Site moments in Bohr magnetons follow the coordinates.
Fractional positions:
1 Cd 0.000 0.000 0.000  0.00
2 Fe 0.500 0.500 0.500  2.94
3 Tl 0.250 0.250 0.250  -0.04